Record 1
Computed, not measured: ZrGaPt after structural relaxation at the PBE level of DFT.

abc: 7.193 7.193 7.181
angles: 90.00 90.00 120.00
Positions (direct):
Zr (0.023, 0.613, 0.250)
Zr (0.387, 0.410, 0.250)
Zr (0.410, 0.387, 0.750)
Zr (0.590, 0.977, 0.250)
Zr (0.613, 0.023, 0.750)
Zr (0.977, 0.590, 0.750)
Ga (0.000, 0.267, 0.000)
Ga (0.000, 0.267, 0.500)
Ga (0.267, 0.000, 0.000)
Ga (0.267, 0.000, 0.500)
Ga (0.733, 0.733, 0.000)
Ga (0.733, 0.733, 0.500)
Pt (0.000, 0.000, 0.250)
Pt (0.000, 0.000, 0.750)
Pt (0.333, 0.667, 0.533)
Pt (0.333, 0.667, 0.967)
Pt (0.667, 0.333, 0.033)
Pt (0.667, 0.333, 0.467)

***

Record 2
Computed, not measured: KAlC3 after structural relaxation at the PBE level of DFT.

abc: 4.109 4.109 4.109
angles: 90.00 90.00 90.00
Positions (direct):
K (0.000, 0.000, 0.000)
Al (0.500, 0.500, 0.500)
C (0.000, 0.500, 0.500)
C (0.500, 0.000, 0.500)
C (0.500, 0.500, 0.000)

## Properties
Offset from the most stable computed form = 0.0000 eV per atom

***

Asked for ΔH_f (0 K) across the records above, the calculation gives -94.9; 205.1 kJ per mole of atoms in order.